MnZn3F | GGA+U | optimized geometry

mass density	3.4	g/cm³
offset from the most stable computed form	0.3256	eV/atom
magnetization	4.81	μB/f.u.
electronic total energy	-2.35	eV per atom

Structure (CIF):
```
data_MnZn3F
_cell_length_a 5.073
_cell_length_b 5.073
_cell_length_c 5.073
_cell_angle_alpha 90.00
_cell_angle_beta 90.00
_cell_angle_gamma 90.00
_symmetry_space_group_name_H-M 'P m -3 m'
_symmetry_Int_Tables_number 221
_symmetry_space_group_name_Hall '-P 4 2 3'
loop_
_atom_site_label
_atom_site_fract_x
_atom_site_fract_y
_atom_site_fract_z
Mn1 0.000 0.000 0.000
Zn1 0.000 0.000 0.500
F1 0.500 0.500 0.500
```